Model P:
BeHgOs: optimized geometry, PBE.

Structure (POSCAR):
```
BeHgOs
1.0
0.0000 2.8342 2.8342
2.8342 0.0000 2.8342
2.8342 2.8342 0.0000
Be Hg Os
1 1 1
Direct
0.0000 0.0000 0.0000
0.2500 0.2500 0.2500
0.7500 0.7500 0.7500
```

Summary:
total magnetic moment = 0.00 μB per formula unit
density = 14.58 g/cm3

---

Model Q:
BeHgOs: optimized geometry, PBE.

Structure (POSCAR):
```
BeHgOs
1.0
-1.4916 1.4916 4.9928
1.4916 -1.4916 4.9928
1.4916 1.4916 -4.9928
Be Hg Os
1 1 1
Direct
0.0000 0.0000 0.0000
0.3017 0.3017 0.0000
0.5933 0.5933 0.0000
```

Summary:
total magnetic moment = 0.00 μB per formula unit
density = 14.94 g/cm3

---

Most stable: model Q

---

Model P:
BeHg3Os: optimized geometry, PBE.

Structure (POSCAR):
```
BeHg3Os
1.0
4.6506 0.0000 0.0000
0.0000 4.6506 0.0000
0.0000 0.0000 4.6506
Be Hg Os
1 3 1
Direct
0.0000 0.0000 0.0000
0.0000 0.0000 0.5000
0.0000 0.5000 0.0000
0.5000 0.0000 0.0000
0.5000 0.5000 0.5000
```

Summary:
total magnetic moment = 2.64 μB per formula unit
density = 13.22 g/cm3

---

Model Q:
BeHg3Os: optimized geometry, PBE.

Structure (POSCAR):
```
BeHg3Os
1.0
5.2822 0.0000 0.0000
0.0000 5.2822 0.0000
0.0000 0.0000 5.2822
Be Hg Os
1 3 1
Direct
0.0000 0.0000 0.0000
0.0000 0.5000 0.5000
0.5000 0.0000 0.5000
0.5000 0.5000 0.0000
0.5000 0.5000 0.5000
```

Summary:
total magnetic moment = 1.02 μB per formula unit
density = 9.03 g/cm3

---

Most stable: model P

---

Model P:
BeHgOs3: optimized geometry, PBE.

Structure (POSCAR):
```
BeHgOs3
1.0
4.2079 0.0000 0.0000
0.0000 4.2079 0.0000
0.0000 0.0000 4.2079
Be Hg Os
1 1 3
Direct
0.0000 0.0000 0.0000
0.5000 0.5000 0.5000
0.0000 0.0000 0.5000
0.0000 0.5000 0.0000
0.5000 0.0000 0.0000
```

Summary:
total magnetic moment = 1.84 μB per formula unit
density = 17.39 g/cm3

---

Model Q:
BeHgOs3: optimized geometry, PBE.

Structure (POSCAR):
```
BeHgOs3
1.0
4.9215 0.0000 0.0000
0.0000 4.9215 0.0000
0.0000 0.0000 4.9215
Be Hg Os
1 1 3
Direct
0.0000 0.0000 0.0000
0.5000 0.5000 0.5000
0.0000 0.5000 0.5000
0.5000 0.0000 0.5000
0.5000 0.5000 0.0000
```

Summary:
total magnetic moment = 5.42 μB per formula unit
density = 10.87 g/cm3

---

Most stable: model P

---

Model P:
BeHgP: optimized geometry, PBE.

Structure (POSCAR):
```
BeHgP
1.0
0.0000 2.9390 2.9390
2.9390 0.0000 2.9390
2.9390 2.9390 0.0000
Be Hg P
1 1 1
Direct
0.0000 0.0000 0.0000
0.2500 0.2500 0.2500
0.7500 0.7500 0.7500
```

Summary:
total magnetic moment = 0.00 μB per formula unit
density = 7.87 g/cm3

---

Model Q:
BeHgP: optimized geometry, PBE.

Structure (POSCAR):
```
BeHgP
1.0
-1.4146 1.7065 5.7751
1.4146 -1.7065 5.7751
1.4146 1.7065 -5.7751
Be Hg P
1 1 1
Direct
0.0000 0.0000 0.0000
0.2112 0.2112 0.0000
0.4435 0.4435 0.0000
```

Summary:
total magnetic moment = 0.00 μB per formula unit
density = 7.16 g/cm3

---

Most stable: model Q

---

Model P:
BeHgP: optimized geometry, PBE.

Structure (POSCAR):
```
BeHgP
1.0
0.0000 2.3843 6.3635
1.8646 0.0000 6.3635
1.8646 2.3843 0.0000
Be Hg P
1 1 1
Direct
0.0000 0.0000 0.0000
0.6980 0.6980 0.3020
0.4292 0.4292 0.5708
```

Summary:
total magnetic moment = 0.00 μB per formula unit
density = 7.06 g/cm3

---

Model Q:
BeHgP: optimized geometry, PBE.

Structure (POSCAR):
```
BeHgP
1.0
3.6768 0.0000 0.0000
-1.8384 3.1842 0.0000
0.0000 0.0000 4.5921
Be Hg P
1 1 1
Direct
0.0000 0.0000 0.0000
0.6667 0.3333 0.5000
0.3333 0.6667 0.0000
```

Summary:
total magnetic moment = 0.00 μB per formula unit
density = 7.43 g/cm3

---

Most stable: model Q

---

Model P:
BeHgP2: optimized geometry, PBE.

Structure (POSCAR):
```
BeHgP2
1.0
3.0635 0.0000 0.0000
0.0000 3.0635 0.0000
0.0000 0.0000 8.3490
Be Hg P
1 1 2
Direct
0.0000 0.0000 0.0000
0.0000 0.0000 0.5000
0.5000 0.5000 0.1289
0.5000 0.5000 0.8711
```

Summary:
total magnetic moment = 0.00 μB per formula unit
density = 5.75 g/cm3

---

Model Q:
BeHgP2: optimized geometry, PBE.

Structure (POSCAR):
```
BeHgP2
1.0
3.4083 0.0000 0.0000
0.0000 3.6343 0.0000
-0.0084 0.0000 5.1603
Be Hg P
1 1 2
Direct
0.0000 0.0000 0.0000
0.5000 0.5000 0.0000
0.0000 0.0000 0.5000
0.5000 0.5000 0.5000
```

Summary:
total magnetic moment = 0.00 μB per formula unit
density = 7.05 g/cm3

---

Model R:
BeHgP2: optimized geometry, PBE.

Structure (POSCAR):
```
BeHgP2
1.0
-2.0997 2.0997 3.6932
2.0997 -2.0997 3.6932
2.0997 2.0997 -3.6932
Be Hg P
1 1 2
Direct
0.0000 0.0000 0.0000
0.2500 0.7500 0.5000
0.5000 0.5000 0.0000
0.7500 0.2500 0.5000
```

Summary:
total magnetic moment = 0.00 μB per formula unit
density = 6.92 g/cm3

---

Most stable: model P